The following is a PBE-GGA calculation of crystalline Pm6AsP2Br3 at its relaxed geometry, from Alexandria.

```
data_Pm6AsP2Br3
_chemical_formula_sum 'Pm12 As2 P4 Br6'
_cell_length_a 18.804
_cell_length_b 4.181
_cell_length_c 8.667
_cell_angle_alpha 90.00
_cell_angle_beta 106.18
_cell_angle_gamma 90.00
_space_group_name_H-M_alt 'C 1 2/m 1'
_space_group_IT_number 12
loop_
_space_group_symop_operation_xyz
'x,y,z'
'-x,-y,-z'
'-x,y,-z'
'x,-y,z'
'x+1/2,y+1/2,z'
'-x+1/2,-y+1/2,-z'
'-x+1/2,y+1/2,-z'
'x+1/2,-y+1/2,z'
loop_
_atom_site_label
_atom_site_fract_x
_atom_site_fract_y
_atom_site_fract_z
_atom_site_occupancy
Pm1 0.014 0.000 0.232 1
Pm2 0.159 0.500 0.116 1
Pm3 0.178 0.500 0.556 1
As1 0.000 0.500 0.000 1
P1 0.168 0.000 0.335 1
Br1 0.000 0.500 0.500 1
Br2 0.166 0.000 0.833 1
```

Calculated values
- total DFT energy (no corrections) (eV/cell) = -133.338
- DOS(E_F) (states/eV/atom) = 0.32
- raw formation energy (eV per atom) = -1.4731


The following is a PBE-GGA calculation of crystalline CaSi2Se at its relaxed geometry, from Alexandria.

```
data_CaSi2Se
_chemical_formula_sum 'Ca6 Si12 Se6'
_cell_length_a 3.9718
_cell_length_b 3.9718
_cell_length_c 41.5881
_cell_angle_alpha 90.00
_cell_angle_beta 90.00
_cell_angle_gamma 120.00
_space_group_name_H-M_alt 'R 3 m'
_space_group_IT_number 160
_space_group_name_Hall 'R 3 -2"'
loop_
_atom_site_label
_atom_site_fract_x
_atom_site_fract_y
_atom_site_fract_z
_atom_site_occupancy
Ca1 0.0000 0.0000 0.0000 1
Ca2 0.0000 0.0000 0.4208 1
Si1 0.0000 0.0000 0.1830 1
Si2 0.0000 0.0000 0.6116 1
Si3 0.0000 0.0000 0.8671 1
Si4 0.0000 0.0000 0.9240 1
Se1 0.0000 0.0000 0.1274 1
Se2 0.0000 0.0000 0.7097 1
```

Calculated values
- total DFT energy (no corrections) (eV/cell) = -116.416
- raw formation energy (eV per atom) = -0.7676


The following is a PBE-GGA calculation of crystalline CaCuGe2O6 at its relaxed geometry, from Alexandria.

```
data_CaCuGe2O6
_chemical_formula_sum 'Ca4 Cu4 Ge8 O24'
_cell_length_a 10.370
_cell_length_b 9.194
_cell_length_c 5.448
_cell_angle_alpha 90.00
_cell_angle_beta 106.93
_cell_angle_gamma 90.00
_space_group_name_H-M_alt 'C 1 2/c 1'
_space_group_IT_number 15
loop_
_space_group_symop_operation_xyz
'x,y,z'
'-x,-y,-z'
'-x,y,-z+1/2'
'x,-y,z+1/2'
'x+1/2,y+1/2,z'
'-x+1/2,-y+1/2,-z'
'-x+1/2,y+1/2,-z+1/2'
'x+1/2,-y+1/2,z+1/2'
loop_
_atom_site_label
_atom_site_fract_x
_atom_site_fract_y
_atom_site_fract_z
_atom_site_occupancy
Ca1 0.000 0.200 0.250 1
Cu1 0.000 0.403 0.750 1
Ge1 0.217 0.098 0.788 1
O1 0.105 0.407 0.119 1
O2 0.140 0.260 0.661 1
O3 0.142 0.031 0.027 1
```

Calculated values
- total DFT energy (no corrections) (eV/cell) = -249.241
- distance to the lowest polymorph of the same formula (meV/atom) = 11
- DOS(E_F) (states/eV/atom) = 0.23
- raw formation energy (eV per atom) = -1.7229


The following is a PBE-GGA calculation of crystalline KMo2As at its relaxed geometry, from Alexandria.

```
data_KMo2As
_chemical_formula_sum 'K1 Mo2 As1'
_cell_length_a 3.289
_cell_length_b 3.289
_cell_length_c 8.109
_cell_angle_alpha 90.00
_cell_angle_beta 90.00
_cell_angle_gamma 90.00
_space_group_name_H-M_alt 'P 4 m m'
_space_group_IT_number 99
loop_
_space_group_symop_operation_xyz
'x,y,z'
'-y,x,z'
'-x,-y,z'
'y,-x,z'
'-x,y,z'
'y,x,z'
'x,-y,z'
'-y,-x,z'
loop_
_atom_site_label
_atom_site_fract_x
_atom_site_fract_y
_atom_site_fract_z
_atom_site_occupancy
K1 0.000 0.000 0.000 1
Mo1 0.000 0.000 0.520 1
Mo2 0.500 0.500 0.366 1
As1 0.500 0.500 0.699 1
```

Calculated values
- total DFT energy (no corrections) (eV/cell) = -26.044
- calculated formation energy (meV/atom) = 341
- DOS(E_F) (states/eV/atom) = 0.79


The following is a PBE-GGA calculation of crystalline YErInNi at its relaxed geometry, from Alexandria.

```
data_YErInNi
_chemical_formula_sum 'Y4 Er4 In4 Ni4'
_cell_length_a 7.180
_cell_length_b 7.180
_cell_length_c 7.180
_cell_angle_alpha 90.00
_cell_angle_beta 90.00
_cell_angle_gamma 90.00
_space_group_name_H-M_alt 'F -4 3 m'
_space_group_IT_number 216
_space_group_name_Hall 'F -4 2 3'
loop_
_atom_site_label
_atom_site_fract_x
_atom_site_fract_y
_atom_site_fract_z
_atom_site_occupancy
Y1 0.000 0.000 0.000 1
Er1 0.000 0.000 0.500 1
In1 0.250 0.250 0.250 1
Ni1 0.250 0.250 0.750 1
```

Calculated values
- total DFT energy (no corrections) (eV/cell) = -83.474
- calculated formation energy (meV/atom) = -330
- DOS(E_F) (states/eV/atom) = 0.94


The following is a PBE-GGA calculation of crystalline La2CdGa3Pd4 at its relaxed geometry, from Alexandria.

```
data_La2CdGa3Pd4
_chemical_formula_sum 'La2 Cd1 Ga3 Pd4'
_cell_length_a 4.322
_cell_length_b 4.322
_cell_length_c 11.048
_cell_angle_alpha 90.00
_cell_angle_beta 90.00
_cell_angle_gamma 90.00
_space_group_name_H-M_alt 'P -4 m 2'
_space_group_IT_number 115
loop_
_space_group_symop_operation_xyz
'x,y,z'
'y,-x,-z'
'-x,-y,z'
'-y,x,-z'
'-x,y,z'
'-y,-x,-z'
'x,-y,z'
'y,x,-z'
loop_
_atom_site_label
_atom_site_fract_x
_atom_site_fract_y
_atom_site_fract_z
_atom_site_occupancy
La1 0.000 0.500 0.242 1
Cd1 0.000 0.000 0.500 1
Ga1 0.000 0.500 0.880 1
Ga2 0.500 0.500 0.500 1
Pd1 0.000 0.000 0.000 1
Pd2 0.000 0.500 0.651 1
Pd3 0.500 0.500 0.000 1
```

Calculated values
- total DFT energy (no corrections) (eV/cell) = -48.128
- calculated formation energy (meV/atom) = -751
- DOS(E_F) (states/eV/atom) = 0.85


The following is a PBE-GGA calculation of crystalline La2V2Ag at its relaxed geometry, from Alexandria.

```
data_La2V2Ag
_chemical_formula_sum 'La4 V4 Ag2'
_cell_length_a 3.502
_cell_length_b 3.502
_cell_length_c 19.588
_cell_angle_alpha 90.00
_cell_angle_beta 90.00
_cell_angle_gamma 90.00
_space_group_name_H-M_alt 'I 4/m m m'
_space_group_IT_number 139
_space_group_name_Hall '-I 4 2'
loop_
_atom_site_label
_atom_site_fract_x
_atom_site_fract_y
_atom_site_fract_z
_atom_site_occupancy
La1 0.000 0.000 0.113 1
V1 0.000 0.500 0.250 1
Ag1 0.000 0.000 0.500 1
```

Calculated values
- total DFT energy (no corrections) (eV/cell) = -58.672
- distance to the lowest polymorph of the same formula (meV/atom) = 0
- calculated formation energy (meV/atom) = 322
- DOS(E_F) (states/eV/atom) = 1.06


The following is a PBE-GGA calculation of crystalline KTaRu2 at its relaxed geometry, from Alexandria.

```
data_KTaRu2
_chemical_formula_sum 'K2 Ta2 Ru4'
_cell_length_a 3.899
_cell_length_b 3.899
_cell_length_c 9.353
_cell_angle_alpha 90.00
_cell_angle_beta 90.00
_cell_angle_gamma 90.00
_space_group_name_H-M_alt 'I -4 m 2'
_space_group_IT_number 119
_space_group_name_Hall 'I -4 -2'
loop_
_atom_site_label
_atom_site_fract_x
_atom_site_fract_y
_atom_site_fract_z
_atom_site_occupancy
K1 0.000 0.000 0.000 1
Ta1 0.000 0.500 0.250 1
Ru1 0.000 0.000 0.500 1
Ru2 0.000 0.500 0.750 1
```

Calculated values
- total DFT energy (no corrections) (eV/cell) = -52.327
- distance to the lowest polymorph of the same formula (meV/atom) = 977
- calculated formation energy (meV/atom) = 1335
- DOS(E_F) (states/eV/atom) = 1.13


Q: Number 2 is which compound?
A: CaSi2Se